# 1
A plane-wave DFT calculation with GGA-PBE was carried out for a relaxed Hf8Co2Ni crystal.

Computed properties:
calculated density: 12.72 g/cm3
energy of formation from the pure elements: -0.18 eV per atom
total moment: 0.00 μB per formula unit

a = 16.3938 Å, b = 4.5710 Å, c = 5.9446 Å
α = 90.00°, β = 109.83°, γ = 90.00°
Space group C2/m (No. 12)
Inequivalent atoms, fractional coordinates:
1 Hf 0.0297 0.0000 0.2753 (multiplicity 4)
2 Hf 0.0913 0.5000 0.9689 (multiplicity 4)
3 Hf 0.1749 0.5000 0.5021 (multiplicity 4)
4 Hf 0.2007 0.0000 0.8438 (multiplicity 4)
5 Co 0.1699 0.0000 0.2350 (multiplicity 4)
6 Ni 0.0000 0.5000 0.5000 (multiplicity 2)

# 2
A plane-wave DFT calculation with GGA-PBE was carried out for a relaxed ZrFe10W crystal.

Computed properties:
calculated density: 9.06 g/cm3
energy of formation from the pure elements: 0.11 eV per atom
total moment: 15.43 μB per formula unit

a = 3.9944 Å, b = 4.7049 Å, c = 8.1302 Å
α = 90.00°, β = 90.00°, γ = 90.00°
Space group Pmmm (No. 47)
Inequivalent atoms, fractional coordinates:
1 Zr 0.0000 0.0000 0.0000 (multiplicity 1)
2 Fe 0.0000 0.0000 0.3422 (multiplicity 2)
3 Fe 0.0000 0.5000 0.1787 (multiplicity 2)
4 Fe 0.5000 0.0000 0.5000 (multiplicity 1)
5 Fe 0.5000 0.2536 0.2575 (multiplicity 4)
6 Fe 0.5000 0.5000 0.0000 (multiplicity 1)
7 W 0.0000 0.5000 0.5000 (multiplicity 1)

# 3
A plane-wave DFT calculation with GGA-PBE was carried out for a relaxed Rb3Sn8Pb crystal.

Computed properties:
calculated density: 5.97 g/cm3
energy of formation from the pure elements: -0.09 eV per atom
total moment: 0.00 μB per formula unit

a = 6.6677 Å, b = 6.6677 Å, c = 30.6249 Å
α = 90.00°, β = 90.00°, γ = 120.00°
Space group R3m (No. 160, hexagonal axes)
Inequivalent atoms, fractional coordinates:
1 Rb 0.0000 0.0000 0.0000 (multiplicity 3)
2 Rb 0.0000 0.0000 0.1226 (multiplicity 3)
3 Rb 0.0000 0.0000 0.6234 (multiplicity 3)
4 Sn 0.0000 0.0000 0.3117 (multiplicity 3)
5 Sn 0.0000 0.0000 0.8134 (multiplicity 3)
6 Sn 0.0107 0.5053 0.0663 (multiplicity 9)
7 Sn 0.1726 0.3452 0.8925 (multiplicity 9)
8 Pb 0.0000 0.0000 0.4924 (multiplicity 3)

# 4
A plane-wave DFT calculation with GGA-PBE was carried out for a relaxed CsBSbSe4 crystal.

Computed properties:
uncorrected formation energy: -399 meV/atom
calculated density: 4.71 g/cm3
total moment: 0.00 μB per formula unit

a = 6.3777 Å, b = 6.9088 Å, c = 9.7146 Å
α = 90.00°, β = 106.93°, γ = 90.00°
Space group P2_1/m (No. 11)
Inequivalent atoms, fractional coordinates:
1 Cs 0.2247 0.2500 0.4333 (multiplicity 2)
2 B 0.1278 0.2500 0.8440 (multiplicity 2)
3 Sb 0.3180 0.7500 0.0382 (multiplicity 2)
4 Se 0.1261 0.2500 0.0548 (multiplicity 2)
5 Se 0.1876 0.7500 0.2895 (multiplicity 2)
6 Se 0.3049 0.0130 0.8024 (multiplicity 4)

# 5
A plane-wave DFT calculation with GGA-PBE was carried out for a relaxed Ag2PtPb crystal.

Computed properties:
calculated density: 13.14 g/cm3
energy of formation from the pure elements: 0.04 eV per atom
total moment: 0.00 μB per formula unit

a = 6.7860 Å, b = 6.7860 Å, c = 6.7860 Å
α = 90.00°, β = 90.00°, γ = 90.00°
Space group F-43m (No. 216)
Inequivalent atoms, fractional coordinates:
1 Ag 0.0000 0.0000 0.0000 (multiplicity 4)
2 Ag 0.2500 0.2500 0.2500 (multiplicity 4)
3 Pt 0.2500 0.2500 0.7500 (multiplicity 4)
4 Pb 0.0000 0.0000 0.5000 (multiplicity 4)

# 6
A plane-wave DFT calculation with GGA-PBE was carried out for a relaxed YHo7Sc4 crystal.

Computed properties:
calculated density: 6.66 g/cm3
energy of formation from the pure elements: 0.25 eV per atom
total moment: 0.52 μB per formula unit

a = 15.4240 Å, b = 5.7062 Å, c = 9.3740 Å
α = 90.00°, β = 120.71°, γ = 90.00°
Space group C2/m (No. 12)
Inequivalent atoms, fractional coordinates:
1 Y 0.0000 0.0000 0.0000 (multiplicity 2)
2 Ho 0.0000 0.5000 0.0000 (multiplicity 2)
3 Ho 0.0886 0.0000 0.4470 (multiplicity 4)
4 Ho 0.2091 0.0000 0.8822 (multiplicity 4)
5 Ho 0.2427 0.0000 0.2781 (multiplicity 4)
6 Sc 0.0543 0.5000 0.7025 (multiplicity 4)
7 Sc 0.1674 0.5000 0.3470 (multiplicity 4)

# 7
A plane-wave DFT calculation with GGA-PBE was carried out for a relaxed SmLuZnIn crystal.

Computed properties:
calculated density: 8.42 g/cm3
energy of formation from the pure elements: -0.37 eV per atom
total moment: 0.00 μB per formula unit

a = 7.3616 Å, b = 7.3616 Å, c = 7.3616 Å
α = 90.00°, β = 90.00°, γ = 90.00°
Space group F-43m (No. 216)
Inequivalent atoms, fractional coordinates:
1 Sm 0.0000 0.0000 0.0000 (multiplicity 4)
2 Lu 0.0000 0.0000 0.5000 (multiplicity 4)
3 Zn 0.2500 0.2500 0.7500 (multiplicity 4)
4 In 0.2500 0.2500 0.2500 (multiplicity 4)

# 8
A plane-wave DFT calculation with GGA-PBE was carried out for a relaxed ZrReP2S crystal.

Computed properties:
uncorrected formation energy: 390 meV/atom
calculated density: 6.21 g/cm3
total moment: 0.01 μB per formula unit

a = 4.5137 Å, b = 4.5137 Å, c = 4.8786 Å
α = 90.00°, β = 90.00°, γ = 90.00°
Space group P4/mmm (No. 123)
Inequivalent atoms, fractional coordinates:
1 Zr 0.0000 0.0000 0.0000 (multiplicity 1)
2 Re 0.5000 0.5000 0.5000 (multiplicity 1)
3 P 0.0000 0.5000 0.5000 (multiplicity 2)
4 S 0.5000 0.5000 0.0000 (multiplicity 1)

# 9
A plane-wave DFT calculation with GGA-PBE was carried out for a relaxed Nd3Si4Au crystal.

Computed properties:
uncorrected formation energy: -580 meV/atom
calculated density: 6.83 g/cm3
total moment: 0.00 μB per formula unit

a = 19.4297 Å, b = 4.3600 Å, c = 4.2827 Å
α = 90.00°, β = 95.69°, γ = 90.00°
Space group C2/m (No. 12)
Inequivalent atoms, fractional coordinates:
1 Nd 0.0000 0.0000 0.0000 (multiplicity 2)
2 Nd 0.1605 0.0000 0.4716 (multiplicity 4)
3 Si 0.1025 0.5000 0.9552 (multiplicity 4)
4 Si 0.2232 0.5000 0.9941 (multiplicity 4)
5 Au 0.0000 0.5000 0.5000 (multiplicity 2)

# 10
A plane-wave DFT calculation with GGA-PBE was carried out for a relaxed Li2Mg3Ir crystal.

Computed properties:
calculated density: 4.41 g/cm3
energy of formation from the pure elements: -0.20 eV per atom
total moment: 0.00 μB per formula unit

a = 4.6071 Å, b = 14.1788 Å, c = 3.2187 Å
α = 90.00°, β = 90.00°, γ = 90.00°
Space group Pmmn (No. 59, origin choice 2)
Inequivalent atoms, fractional coordinates:
1 Li 0.2500 0.0795 0.0032 (multiplicity 4)
2 Mg 0.2500 0.2500 0.5068 (multiplicity 2)
3 Mg 0.2500 0.5990 0.4959 (multiplicity 4)
4 Ir 0.2500 0.7500 0.9954 (multiplicity 2)

# 11
A plane-wave DFT calculation with GGA-PBE was carried out for a relaxed BRu2Cl crystal.

Computed properties:
uncorrected formation energy: 880 meV/atom
calculated density: 8.57 g/cm3
total moment: 0.00 μB per formula unit

a = 5.7741 Å, b = 5.7741 Å, c = 5.7741 Å
α = 90.00°, β = 90.00°, γ = 90.00°
Space group Fm-3m (No. 225)
Inequivalent atoms, fractional coordinates:
1 B 0.0000 0.0000 0.0000 (multiplicity 4)
2 Ru 0.2500 0.2500 0.2500 (multiplicity 8)
3 Cl 0.0000 0.0000 0.5000 (multiplicity 4)

# 12
A plane-wave DFT calculation with GGA-PBE was carried out for a relaxed Tb6TlZn2 crystal.

Computed properties:
calculated density: 7.85 g/cm3
energy of formation from the pure elements: 0.01 eV per atom
total moment: 0.00 μB per formula unit

a = 5.0123 Å, b = 5.0123 Å, c = 21.7058 Å
α = 90.00°, β = 90.00°, γ = 90.00°
Space group I4/mmm (No. 139)
Inequivalent atoms, fractional coordinates:
1 Tb 0.0000 0.5000 0.0902 (multiplicity 8)
2 Tb 0.0000 0.5000 0.2500 (multiplicity 4)
3 Tl 0.0000 0.0000 0.0000 (multiplicity 2)
4 Zn 0.0000 0.0000 0.3320 (multiplicity 4)